VASP calculation (PBE-GGA) on a geometry-optimized BaAsAu4 structure.

abc: 5.1637 16.3609 7.0776
angles: 90.00 90.00 90.00
With the nearest neighbours (Å) after each atom.
Space group Cmcm (No. 63)
Asymmetric unit:
Ba 0.0000 0.1007 0.2500  13 Au 3.48-3.80
As 0.0000 0.3867 0.2500  6 Au 2.56-2.70
Au 0.0000 0.1316 0.7500  2 As 2.60, 2 Au 2.89
Au 0.0000 0.2854 0.5505  1 As 2.70, 4 Au 2.82-2.92
Au 0.0000 0.5000 0.0000  2 As 2.56

The total magnetization comes out at 0.0 μB/cell. Its energy of formation is -8.046 kcal/mol of atoms.

VASP calculation (PBE-GGA) on a geometry-optimized BaAs2Au2 structure.

abc: 8.2432 8.2432 3.3940
angles: 90.00 90.00 90.00
With the nearest neighbours (Å) after each atom.
Space group P4/mbm (No. 127)
Asymmetric unit:
Ba 0.0000 0.0000 0.0000  4 As 3.19, 2 Ba 3.39, 8 Au 3.55
As 0.1388 0.3612 0.0000  6 Au 2.95, 2 Ba 3.19, 1 As 3.24
Au 0.1540 0.6540 0.5000  6 As 2.95

The total magnetization comes out at 0.0 μB/cell. Its energy of formation is -3.212 kcal/mol of atoms.

VASP calculation (PBE-GGA) on a geometry-optimized BaAsAu3 structure.

abc: 6.1093 6.1093 6.1093
angles: 90.00 90.00 90.00
With the nearest neighbours (Å) after each atom.
Space group Pm-3m (No. 221)
Asymmetric unit:
Ba 0.0000 0.0000 0.0000  6 Au 3.05
As 0.5000 0.5000 0.5000  12 Au 4.32
Au 0.0000 0.0000 0.5000  2 Ba 3.05

The total magnetization comes out at 2.0 μB/cell. Its energy of formation is 22.739 kcal/mol of atoms.